Compound: NaCoN2F
Source: Alexandria
Functional: PBE+U
Structure: relaxed

Values from the calculation:
Raw total energy in eV/atom: -3.453
Excess energy over the best structure of this formula in the dataset in eV/f.u.: 7.22
SG: P4/mmm

a b c (Å): 4.4858 4.4858 3.9846
angles (deg): 90.00 90.00 90.00
Element x y z (fractional)
Na 0.0000 0.0000 0.0000
Co 0.5000 0.5000 0.5000
N 0.0000 0.5000 0.0000
N 0.5000 0.0000 0.0000
F 0.0000 0.0000 0.5000